Entry from Alexandria via LeMat-Bulk: a relaxed structure of KScAsPd2 (PBE-GGA).

ΔH_f (0 K): 1.016 eV per atom

Geometry as CIF:
```
data_KScAsPd2
_symmetry_space_group_name_H-M 'P 4/m m m'
_symmetry_Int_Tables_number 123
_symmetry_space_group_name_Hall '-P 4 2'
_cell_length_a 4.7416
_cell_length_b 4.7416
_cell_length_c 5.6701
_cell_angle_alpha 90.00
_cell_angle_beta 90.00
_cell_angle_gamma 90.00
loop_
_atom_site_label
_atom_site_type_symbol
_atom_site_fract_x
_atom_site_fract_y
_atom_site_fract_z
_atom_site_occupancy
K1 K 0.0000 0.0000 0.0000 1
Sc1 Sc 0.5000 0.5000 0.5000 1
As1 As 0.0000 0.0000 0.5000 1
Pd1 Pd 0.0000 0.5000 0.0000 1
```

---

Entry from Alexandria via LeMat-Bulk: a relaxed structure of Ac8Mg2Au (PBE-GGA).

ΔH_f (0 K): -0.105 eV per atom

Geometry as CIF:
```
data_Ac8Mg2Au
_symmetry_space_group_name_H-M 'C 1 2/m 1'
_symmetry_Int_Tables_number 12
_symmetry_space_group_name_Hall '-C 2y'
_cell_length_a 20.1856
_cell_length_b 5.7709
_cell_length_c 7.5614
_cell_angle_alpha 90.00
_cell_angle_beta 103.32
_cell_angle_gamma 90.00
loop_
_atom_site_label
_atom_site_type_symbol
_atom_site_fract_x
_atom_site_fract_y
_atom_site_fract_z
_atom_site_occupancy
Ac1 Ac 0.0205 0.0000 0.2736 1
Ac2 Ac 0.0927 0.5000 0.9460 1
Ac3 Ac 0.1527 0.5000 0.4610 1
Ac4 Ac 0.2042 0.0000 0.7985 1
Mg1 Mg 0.1889 0.0000 0.2383 1
Au1 Au 0.0000 0.5000 0.5000 1
```

---

Entry from Alexandria via LeMat-Bulk: a relaxed structure of VAs2WI (PBE-GGA).

Formation energy (no corrections): 244 kJ/mol of atoms

Geometry as CIF:
```
data_VAs2WI
_symmetry_space_group_name_H-M 'P 4/m m m'
_symmetry_Int_Tables_number 123
_symmetry_space_group_name_Hall '-P 4 2'
_cell_length_a 5.2484
_cell_length_b 5.2484
_cell_length_c 4.9065
_cell_angle_alpha 90.00
_cell_angle_beta 90.00
_cell_angle_gamma 90.00
loop_
_atom_site_label
_atom_site_type_symbol
_atom_site_fract_x
_atom_site_fract_y
_atom_site_fract_z
_atom_site_occupancy
V1 V 0.0000 0.0000 0.0000 1
As1 As 0.0000 0.5000 0.5000 1
W1 W 0.5000 0.5000 0.0000 1
I1 I 0.5000 0.5000 0.5000 1
```

---

Total energy, record by record: -17.386; -80.969; -20.277 eV/cell
Total magnetization, record by record: 0.0; 0.0; 0.0 Bohr magnetons per cell